[1]
Density functional theory data (PBE-GGA) for a relaxed Zn4SeS3 crystal.

Cell lengths 3.9010, 3.9010, 38.2544 Å; angles 90.00, 90.00, 120.00 degrees
Space group R3m (No. 160, hexagonal axes)
Symmetry-distinct sites (fractional):
Zn1 0.0000 0.0000 0.0000 x3
Zn2 0.0000 0.0000 0.2443 x3
Zn3 0.0000 0.0000 0.4961 x3
Zn4 0.0000 0.0000 0.7479 x3
Se1 0.0000 0.0000 0.3091 x3
S1 0.0000 0.0000 0.0614 x3
S2 0.0000 0.0000 0.5579 x3
S3 0.0000 0.0000 0.8096 x3


[2]
Density functional theory data (PBE-GGA) for a relaxed NiMoCl crystal.

Cell lengths 3.1246, 4.8259, 12.1465 Å; angles 90.00, 90.00, 90.00 degrees
Space group Fmm2 (No. 42)
Symmetry-distinct sites (fractional):
Ni1 0.0000 0.0000 0.0000 x4
Mo1 0.0000 0.0000 0.6539 x4
Cl1 0.0000 0.0000 0.3265 x4


Number 1: calculated total energy -3.395 eV/atom, magnetization 0.00 μB per formula unit, formation energy without anion corrections -74.7 kJ per mole of atoms. Number 2: calculated total energy -5.761 eV/atom, magnetization 0.00 μB per formula unit, formation energy without anion corrections 37.8 kJ per mole of atoms.